MgTa3I: optimized geometry, PBEsol.

Values from the calculation:
As for the density of states at the Fermi level: 7.1 states/eV per cell. The calculation puts the volume at 22.14 Å³/atom. For the total magnetic moment, the calculation gives 0.00 μB/f.u. The uncorrected formation energy comes out at 2.1897 eV/atom. The space group is Pm-3m, No. 221.

```
MgTa3I
1.0
-2.3117 1.2201 -4.0274
-3.7551 -2.6722 1.3458
-1.8995 3.7978 2.2408
Ta Mg I
3 1 1
Cartesian
-0.9497 1.8989 1.1204 Ta
-1.8775 -1.3361 0.6729 Ta
-1.1558 0.6100 -2.0137 Ta
0.0000 0.0000 0.0000 Mg
-3.9831 1.1728 -0.2204 I
```